# KThCu

A geometry-optimized KThCu structure (PBE, OQMD via LeMat-Bulk).

abc: 5.059 5.059 5.059
angles: 60.00 60.00 60.00
Element x y z (fractional)
K 0.000 0.000 0.000
Th 0.500 0.500 0.500
Cu 0.250 0.250 0.250

Summary:
E = -0.2367 Ry/atom